Compound: La2Ta
Source: the Alexandria database
Functional: PBE-GGA
Structure: optimized geometry

Structure (POSCAR):
```
La2Ta
1.0
-3.811 3.811 3.078
3.811 -3.811 3.078
3.811 3.811 -3.078
Ta La
2 4
Direct
0.750 0.750 0.000
0.250 0.250 0.000
0.168 0.668 0.835
0.832 0.332 0.165
0.668 0.832 0.500
0.332 0.168 0.500
```

Results
The offset from the most stable computed form comes out at 0.436 eV per formula unit. For the uncorrected energy, the calculation gives -40.877 eV for the cell shown. The calculation puts the density of states at the Fermi level at 9.17 states/eV/cell. The energy of formation from the pure elements comes out at 0.42 eV per atom. Its symmetry is I4/mcm.